# Tb2Ho2Se5 GGA-PBE optimized geometry
data_Tb2Ho2Se5
_cell_length_a 8.9459
_cell_length_b 8.9459
_cell_length_c 7.3983
_cell_angle_alpha 92.16
_cell_angle_beta 92.16
_cell_angle_gamma 25.43
_space_group_name_H-M_alt 'P 1'
_space_group_IT_number 1
_space_group_name_Hall 'P 1'
loop_
_atom_site_label
_atom_site_type_symbol
_atom_site_fract_x
_atom_site_fract_y
_atom_site_fract_z
_atom_site_occupancy
Tb1 Tb 0.0277 0.0277 0.2804 1
Tb2 Tb 0.9723 0.9723 0.7196 1
Ho1 Ho 0.3419 0.3419 0.0905 1
Ho2 Ho 0.6581 0.6581 0.9095 1
Se1 Se 0.1863 0.1863 0.1725 1
Se2 Se 0.4095 0.4095 0.4346 1
Se3 Se 0.5000 0.5000 0.0000 1
Se4 Se 0.5905 0.5905 0.5654 1
Se5 Se 0.8137 0.8137 0.8275 1
# Energy relative to the elements, uncorrected (eV per atom): -1.667
# Excess energy over the best structure of this formula in the dataset (meV/atom): 52
# N(E_F) (states/eV/f.u.): 2.67

=====

# Li3CeGa8 GGA-PBE optimized geometry
data_Li3CeGa8
_cell_length_a 8.9694
_cell_length_b 8.9694
_cell_length_c 3.2233
_cell_angle_alpha 90.00
_cell_angle_beta 90.00
_cell_angle_gamma 120.00
_space_group_name_H-M_alt 'P 1'
_space_group_IT_number 1
_space_group_name_Hall 'P 1'
loop_
_atom_site_label
_atom_site_type_symbol
_atom_site_fract_x
_atom_site_fract_y
_atom_site_fract_z
_atom_site_occupancy
Li1 Li 0.0000 0.5000 0.0000 1
Li2 Li 0.5000 0.0000 0.0000 1
Li3 Li 0.5000 0.5000 0.0000 1
Ce1 Ce 0.0000 0.0000 0.0000 1
Ga1 Ga 0.1721 0.3441 0.5000 1
Ga2 Ga 0.1721 0.8279 0.5000 1
Ga3 Ga 0.3333 0.6667 0.5000 1
Ga4 Ga 0.3441 0.1721 0.5000 1
Ga5 Ga 0.6559 0.8279 0.5000 1
Ga6 Ga 0.6667 0.3333 0.5000 1
Ga7 Ga 0.8279 0.1721 0.5000 1
Ga8 Ga 0.8279 0.6559 0.5000 1
# Excess energy over the best structure of this formula in the dataset (meV/atom): 58
# N(E_F) (states/eV/f.u.): 8.43